Entry 1:
# Be2Hg PBE optimized geometry
data_Be2Hg
_symmetry_space_group_name_H-M 'P 1'
_symmetry_Int_Tables_number 1
_cell_length_a 6.497
_cell_length_b 6.497
_cell_length_c 6.497
_cell_angle_alpha 145.95
_cell_angle_beta 145.95
_cell_angle_gamma 48.92
loop_
_symmetry_equiv_pos_as_xyz
'x,y,z'
loop_
_atom_site_label
_atom_site_type_symbol
_atom_site_fract_x
_atom_site_fract_y
_atom_site_fract_z
_atom_site_occupancy
Be1 Be 0.284 0.534 0.750 1
Be2 Be 0.466 0.716 0.750 1
Be3 Be 0.534 0.284 0.250 1
Be4 Be 0.716 0.466 0.250 1
Hg1 Hg 0.125 0.875 0.250 1
Hg2 Hg 0.875 0.125 0.750 1
# * excess energy over the best structure of this formula in the dataset: 407.5 meV/atom
# * spin magnetization: 0.00 μB per cell
# * formation enthalpy at 0 K: 0.67 eV per atom
# * total DFT energy (no corrections): -1.914 eV per atom

Entry 2:
# CaScI2O PBE optimized geometry
data_CaScI2O
_symmetry_space_group_name_H-M 'P 1'
_symmetry_Int_Tables_number 1
_cell_length_a 6.017
_cell_length_b 6.017
_cell_length_c 3.914
_cell_angle_alpha 90.00
_cell_angle_beta 90.00
_cell_angle_gamma 90.00
loop_
_symmetry_equiv_pos_as_xyz
'x,y,z'
loop_
_atom_site_label
_atom_site_type_symbol
_atom_site_fract_x
_atom_site_fract_y
_atom_site_fract_z
_atom_site_occupancy
Ca1 Ca 0.000 0.000 0.000 1
Sc1 Sc 0.500 0.500 0.500 1
I1 I 0.000 0.500 0.500 1
I2 I 0.500 0.000 0.500 1
O1 O 0.500 0.500 0.000 1
# * excess energy over the best structure of this formula in the dataset: 0.0 meV/atom
# * spin magnetization: 0.01 μB per cell
# * total DFT energy (no corrections): -4.861 eV per atom
# * formation energy (no corrections): -153 kJ/mol of atoms

Entry 3:
# Er3OsPb PBE optimized geometry
data_Er3OsPb
_symmetry_space_group_name_H-M 'P 1'
_symmetry_Int_Tables_number 1
_cell_length_a 6.472
_cell_length_b 6.979
_cell_length_c 7.646
_cell_angle_alpha 106.41
_cell_angle_beta 105.84
_cell_angle_gamma 110.28
loop_
_symmetry_equiv_pos_as_xyz
'x,y,z'
loop_
_atom_site_label
_atom_site_type_symbol
_atom_site_fract_x
_atom_site_fract_y
_atom_site_fract_z
_atom_site_occupancy
Er1 Er 0.000 0.000 0.000 1
Er2 Er 0.067 0.278 0.562 1
Er3 Er 0.281 0.847 0.627 1
Er4 Er 0.528 0.889 0.127 1
Er5 Er 0.596 0.405 0.001 1
Er6 Er 0.672 0.697 0.475 1
Os1 Os 0.539 0.640 0.774 1
Os2 Os 0.956 0.849 0.288 1
Pb1 Pb 0.129 0.504 0.161 1
Pb2 Pb 0.532 0.229 0.508 1
# * excess energy over the best structure of this formula in the dataset: 199.1 meV/atom
# * spin magnetization: 0.00 μB per cell
# * formation enthalpy at 0 K: -0.16 eV per atom
# * total DFT energy (no corrections): -5.881 eV per atom

Entry 4:
# TlRe2Sb PBE optimized geometry
data_TlRe2Sb
_symmetry_space_group_name_H-M 'P 1'
_symmetry_Int_Tables_number 1
_cell_length_a 9.118
_cell_length_b 9.118
_cell_length_c 9.118
_cell_angle_alpha 19.49
_cell_angle_beta 19.49
_cell_angle_gamma 19.49
loop_
_symmetry_equiv_pos_as_xyz
'x,y,z'
loop_
_atom_site_label
_atom_site_type_symbol
_atom_site_fract_x
_atom_site_fract_y
_atom_site_fract_z
_atom_site_occupancy
Tl1 Tl 0.000 0.000 0.000 1
Re1 Re 0.244 0.244 0.244 1
Re2 Re 0.756 0.756 0.756 1
Sb1 Sb 0.500 0.500 0.500 1
# * excess energy over the best structure of this formula in the dataset: 549.4 meV/atom
# * spin magnetization: 0.00 μB per cell
# * total DFT energy (no corrections): -6.915 eV per atom
# * formation energy (no corrections): 90 kJ/mol of atoms